## CsMo2PdSe8 (PBE-GGA)

Data for crystalline CsMo2PdSe8 at its relaxed geometry.

Structure (extended XYZ):
```
12
Lattice="3.2148 1.8561 10.1187 -3.2148 1.8561 10.1187 0.0000 -3.7122 10.1187" Properties=species:S:1:pos:R:3 pbc="T T T"
Cs 0.0000 0.0000 0.0000
Mo 0.0000 0.0000 7.3151
Mo 0.0000 0.0000 23.0410
Pd 0.0000 0.0000 15.1781
Se -0.9780 -1.8560 13.6573
Se -2.0963 -0.0810 16.6989
Se 0.0000 0.0000 9.6268
Se -1.1183 1.7749 13.6573
Se 1.1183 -1.7749 16.6989
Se 0.0000 0.0000 20.7293
Se 2.0963 0.0810 13.6573
Se 0.9780 1.8560 16.6989
```

The value obtained for the total energy is -4.97 eV per atom. For the magnetic moment, the calculation gives 0.00 μB per formula unit. The calculation puts the raw formation energy at -0.341 eV per atom. The density of states at the Fermi level comes out at 6.3 states/eV per cell.